Model i:
VASP calculation (PBE-GGA) on SrLaAgPt after structural relaxation.

Unit cell a=4.1596 b=4.4475 c=6.4122 alpha=90.00 beta=108.93 gamma=90.00
Fractional coordinates of all 4 atoms:
Ag (0.5737, 0.5000, 0.1474)
La (0.8695, 0.5000, 0.7389)
Pt (0.4100, 0.0000, 0.8199)
Sr (0.1469, 0.0000, 0.2937)

Symmetry: Amm2, No. 38

=====

Model ii:
VASP calculation (PBE-GGA) on SrLaAgPt after structural relaxation.

Unit cell a=5.2929 b=5.2929 c=5.2929 alpha=60.00 beta=60.00 gamma=60.00
Fractional coordinates of all 4 atoms:
Ag (0.7500, 0.7500, 0.7500)
Pt (0.2500, 0.2500, 0.2500)
Sr (0.0000, 0.0000, 0.0000)
La (0.5000, 0.5000, 0.5000)

Symmetry: F-43m, No. 216

=====

Which one is most stable, and which one is least stable? model i is the most stable of them, while model ii is the least stable.

=====

Model i:
VASP calculation (PBE-GGA) on LaPuAg after structural relaxation.

Unit cell a=3.3260 b=3.3674 c=13.0229 alpha=90.00 beta=97.34 gamma=90.00
Fractional coordinates of all 6 atoms:
Ag (0.5438, 0.7500, 0.0876)
Ag (0.4562, 0.2500, 0.9124)
La (0.1305, 0.2500, 0.2609)
La (0.8695, 0.7500, 0.7391)
Pu (0.7360, 0.2500, 0.4719)
Pu (0.2640, 0.7500, 0.5281)

Symmetry: Cmcm, No. 63

=====

Model ii:
VASP calculation (PBE-GGA) on LaPuAg after structural relaxation.

Unit cell a=3.6999 b=3.6999 c=6.7475 alpha=105.91 beta=105.91 gamma=90.00
Site moments in Bohr magnetons follow the coordinates.
Fractional coordinates of all 3 atoms:
La (0.3197, 0.3197, 0.6395)  0.19
Ag (0.6631, 0.6631, 0.3263)  0.04
Pu (0.0171, 0.0171, 0.0343)  5.62

Symmetry: I4mm, No. 107

=====

Which one is most stable, and which one is least stable? model ii is the most stable of them, while model i is the least stable.

=====

Model i:
VASP calculation (PBE-GGA) on RbLa3Ag after structural relaxation.

Unit cell a=6.0764 b=6.0764 c=6.0764 alpha=90.00 beta=90.00 gamma=90.00
Site moments in Bohr magnetons follow the coordinates.
Fractional coordinates of all 5 atoms:
Ag (0.0000, 0.0000, 0.0000)  0.05
La (0.5000, 0.0000, 0.0000)  0.23
La (0.0000, 0.5000, 0.0000)  0.17
La (0.0000, 0.0000, 0.5000)  0.14
Rb (0.5000, 0.5000, 0.5000)  0.01

Symmetry: Pm-3m, No. 221

=====

Model ii:
VASP calculation (PBE-GGA) on RbLa3Ag after structural relaxation.

Unit cell a=5.7071 b=5.7071 c=5.7071 alpha=90.00 beta=90.00 gamma=90.00
Fractional coordinates of all 5 atoms:
La (0.5000, 0.0000, 0.0000)
La (0.0000, 0.0000, 0.5000)
La (0.0000, 0.5000, 0.0000)
Ag (0.5000, 0.5000, 0.5000)
Rb (0.0000, 0.0000, 0.0000)

Symmetry: Pm-3m, No. 221

=====

Which one is most stable, and which one is least stable? model i is the most stable of them, while model ii is the least stable.

=====

Model i:
VASP calculation (PBE-GGA) on LaRe2Ag after structural relaxation.

Unit cell a=4.7832 b=4.0441 c=4.0441 alpha=90.00 beta=90.00 gamma=90.00
Fractional coordinates of all 4 atoms:
Re (0.0000, 0.0000, 0.0000)
Re (0.0000, 0.5000, 0.5000)
Ag (0.5000, 0.5000, 0.0000)
La (0.5000, 0.0000, 0.5000)

Symmetry: P4/mmm, No. 123

=====

Model ii:
VASP calculation (PBE-GGA) on LaRe2Ag after structural relaxation.

Unit cell a=5.7798 b=5.7798 c=2.8744 alpha=78.76 beta=78.76 gamma=121.40
Fractional coordinates of all 4 atoms:
Re (0.0000, 0.0000, 0.0000)
Re (0.5000, 0.5000, 0.0000)
Ag (0.5000, 0.0000, 0.5000)
La (0.0000, 0.5000, 0.5000)

Symmetry: C2/m, No. 12

=====

Model iii:
VASP calculation (PBE-GGA) on LaRe2Ag after structural relaxation.

Unit cell a=10.6172 b=10.6172 c=10.6172 alpha=15.46 beta=15.46 gamma=15.46
Fractional coordinates of all 4 atoms:
Ag (0.2500, 0.2500, 0.2500)
Re (0.5072, 0.5072, 0.5072)
Re (0.9928, 0.9928, 0.9928)
La (0.7500, 0.7500, 0.7500)

Symmetry: R-3m, No. 166

=====

Model iv:
VASP calculation (PBE-GGA) on LaRe2Ag after structural relaxation.

Unit cell a=5.2554 b=5.2554 c=5.2554 alpha=135.06 beta=123.42 gamma=75.02
Fractional coordinates of all 4 atoms:
Ag (0.5139, 0.5139, 0.0000)
Re (0.7924, 0.2924, 0.5000)
Re (0.9615, 0.9615, 0.0000)
La (0.2322, 0.7322, 0.5000)

Symmetry: Imm2, No. 44

=====

Which one is most stable, and which one is least stable? model iv is the most stable of them, while model iii is the least stable.

=====

Model i:
VASP calculation (PBE-GGA) on LaRe2Ag after structural relaxation.

Unit cell a=4.7232 b=4.7232 c=4.7232 alpha=60.00 beta=60.00 gamma=60.00
Fractional coordinates of all 4 atoms:
Ag (0.0000, 0.0000, 0.0000)
Re (0.2500, 0.2500, 0.2500)
Re (0.7500, 0.7500, 0.7500)
La (0.5000, 0.5000, 0.5000)

Symmetry: Fm-3m, No. 225

=====

Model ii:
VASP calculation (PBE-GGA) on LaRe2Ag after structural relaxation.

Unit cell a=3.1315 b=3.1315 c=8.0665 alpha=90.00 beta=90.00 gamma=90.00
Fractional coordinates of all 4 atoms:
Re (0.5000, 0.5000, 0.2194)
Re (0.0000, 0.0000, 0.0544)
Ag (0.0000, 0.0000, 0.4587)
La (0.5000, 0.5000, 0.7675)

Symmetry: P4mm, No. 99

=====

Model iii:
VASP calculation (PBE-GGA) on LaRe2Ag after structural relaxation.

Unit cell a=5.1179 b=3.0881 c=4.9711 alpha=87.91 beta=90.00 gamma=90.00
Fractional coordinates of all 4 atoms:
Ag (0.5000, 0.2500, 0.2500)
Re (0.0000, 0.0735, 0.9802)
Re (0.0000, 0.4265, 0.5198)
La (0.5000, 0.7500, 0.7500)

Symmetry: P2/m, No. 10

=====

Which one is most stable, and which one is least stable? model ii is the most stable of them, while model i is the least stable.